# 1
Entry from the Alexandria database: an optimized crystal structure of Ce4TlGa4 (PBE).

Lattice parameters (Å, degrees): 6.513 6.513 10.650 90.00 90.00 90.00
Site moments in Bohr magnetons follow the coordinates.
Sites, in units of the cell vectors:
Ce 0.729 0.000 0.433  0.32
Ce 0.500 0.229 0.933  0.32
Ce 0.000 0.729 0.567  0.32
Ce 0.500 0.771 0.933  0.32
Ga 0.500 0.220 0.227  0.00
Ga 0.280 0.000 0.727  0.00
Ce 0.229 0.500 0.067  0.32
Tl 0.500 0.500 0.500  0.00
Ga 0.220 0.500 0.773  0.00
Ga 0.000 0.720 0.273  0.00
Ga 0.780 0.500 0.773  0.00
Ce 0.000 0.271 0.567  0.32
Ga 0.720 0.000 0.727  0.00
Tl 0.000 0.000 0.000  0.00
Ce 0.271 0.000 0.433  0.32
Ga 0.500 0.780 0.227  0.00
Ga 0.000 0.280 0.273  0.00
Ce 0.771 0.500 0.067  0.32

Properties
Space-group type: No. 137
Crystal system: tetragonal
Energy relative to the elements: -0.14 eV/atom
VASP energy: -4.39 eV/atom
DOS at the Fermi energy: 1.7381 states/eV/atom

***

# 2
Entry from the Alexandria database: an optimized crystal structure of FeMoPd6 (PBE).

Lattice parameters (Å, degrees): 5.188 5.188 5.188 89.51 89.51 89.51
Site moments in Bohr magnetons follow the coordinates.
Sites, in units of the cell vectors:
Pd 0.450 0.828 0.828  0.15
Mo 0.000 0.000 0.000  -0.29
Pd 0.550 0.172 0.172  0.15
Fe 0.500 0.500 0.500  3.20
Pd 0.172 0.550 0.172  0.15
Pd 0.828 0.450 0.828  0.15
Pd 0.172 0.172 0.550  0.15
Pd 0.828 0.828 0.450  0.15

Properties
Space-group type: No. 166
Crystal system: trigonal
Energy relative to the elements: 0.48 eV/atom
VASP energy: -5.83 eV/atom
DOS at the Fermi energy: 0.8906 states/eV/atom
E above lowest polymorph: 534 meV/atom

***

# 3
Entry from the Alexandria database: an optimized crystal structure of Ac3CdGe3 (PBE).

Lattice parameters (Å, degrees): 6.413 9.404 9.404 120.00 90.00 90.00
Sites, in units of the cell vectors:
Ge 0.250 0.948 0.319
Ac 0.250 0.647 0.947
Ac 0.750 0.701 0.647
Cd 0.250 0.667 0.333
Ge 0.250 0.371 0.052
Ge 0.750 0.319 0.371
Ac 0.250 0.053 0.701
Ac 0.250 0.299 0.353
Ge 0.250 0.681 0.629
Ge 0.750 0.052 0.681
Ac 0.750 0.353 0.053
Cd 0.750 0.333 0.667
Ac 0.750 0.947 0.299
Ge 0.750 0.629 0.948

Properties
Space-group type: No. 176
Crystal system: hexagonal
Energy relative to the elements: -0.50 eV/atom
VASP energy: -4.37 eV/atom
DOS at the Fermi energy: 0.8732 states/eV/atom
E above lowest polymorph: 114 meV/atom

***

# 4
Entry from the Alexandria database: an optimized crystal structure of Ac6Os2PtBr3 (PBE).

Lattice parameters (Å, degrees): 7.563 7.563 8.618 98.38 98.38 120.01
Sites, in units of the cell vectors:
Ac 0.410 0.065 0.195
Os 0.666 0.334 0.000
Pt 0.000 0.000 0.000
Ac 0.720 0.720 0.195
Br 0.830 0.170 0.500
Ac 0.065 0.410 0.195
Ac 0.280 0.280 0.805
Br 0.170 0.830 0.500
Br 0.500 0.500 0.500
Ac 0.590 0.935 0.805
Os 0.334 0.666 0.000
Ac 0.935 0.590 0.805

Properties
Space-group type: No. 12
Crystal system: monoclinic
VASP energy: -5.82 eV/atom
DOS at the Fermi energy: 0.3522 states/eV/atom

***

# 5
Entry from the Alexandria database: an optimized crystal structure of CdSi2Te6 (PBE).

Lattice parameters (Å, degrees): 7.129 9.918 9.918 102.02 76.40 76.40
Sites, in units of the cell vectors:
Te 0.578 0.007 0.849
Te 0.078 0.849 0.007
Te 0.823 0.870 0.482
Si 0.119 0.657 0.772
Te 0.677 0.518 0.130
Te 0.678 0.266 0.432
Te 0.323 0.482 0.870
Te 0.422 0.993 0.151
Te 0.822 0.568 0.734
Te 0.322 0.734 0.568
Cd 0.250 0.210 0.790
Cd 0.750 0.790 0.210
Si 0.381 0.228 0.343
Te 0.922 0.151 0.993
Si 0.619 0.772 0.657
Te 0.177 0.130 0.518
Si 0.881 0.343 0.228
Te 0.178 0.432 0.266

Properties
Space-group type: No. 15
Crystal system: monoclinic
VASP energy: -3.44 eV/atom

***

# 6
Entry from the Alexandria database: an optimized crystal structure of MoRuC2 (PBE).

Lattice parameters (Å, degrees): 4.608 4.608 5.726 66.28 66.28 90.00
Sites, in units of the cell vectors:
Mo 0.500 0.500 0.000
Ru 0.000 0.000 0.000
C 0.115 0.625 0.250
C 0.375 0.365 0.750
Ru 0.750 0.250 0.500
C 0.875 0.885 0.750
Mo 0.250 0.750 0.500
C 0.635 0.125 0.250

Properties
Space-group type: No. 122
Crystal system: tetragonal
Energy relative to the elements: 0.55 eV/atom
VASP energy: -9.09 eV/atom
DOS at the Fermi energy: 1.0600 states/eV/atom
E above lowest polymorph: 0 meV/atom

***

# 7
Entry from the Alexandria database: an optimized crystal structure of BaCuIr2 (PBE).

Lattice parameters (Å, degrees): 5.399 5.399 3.036 90.00 90.00 118.07
Sites, in units of the cell vectors:
Cu 0.000 0.500 0.500
Ba 0.500 0.000 0.500
Ir 0.000 0.000 0.000
Ir 0.500 0.500 0.000

Properties
Space-group type: No. 65
Crystal system: orthorhombic
Energy relative to the elements: 0.83 eV/atom
VASP energy: -5.10 eV/atom
DOS at the Fermi energy: 1.3217 states/eV/atom
E above lowest polymorph: 974 meV/atom

***

# 8
Entry from the Alexandria database: an optimized crystal structure of Mn2TcHg (PBE).

Lattice parameters (Å, degrees): 4.534 4.534 3.046 90.00 90.00 90.00
Site moments in Bohr magnetons follow the coordinates.
Sites, in units of the cell vectors:
Mn 0.500 0.500 0.000  3.38
Hg 0.000 0.500 0.500  -0.03
Tc 0.500 0.000 0.500  -0.52
Mn 0.000 0.000 0.000  3.38

Properties
Space-group type: No. 123
Crystal system: tetragonal
Energy relative to the elements: 0.43 eV/atom
VASP energy: -6.82 eV/atom
DOS at the Fermi energy: 1.0559 states/eV/atom